Density functional theory data (PBE-GGA) for crystalline CoOsRu2 at its relaxed geometry.

Energy above the most stable polymorph in this dataset = 19 meV per atom
Calculated formation energy = 0.158 eV/atom
Size of the total moment = 0.00 μB per atom

a b c (Å): 4.6119 4.6119 4.6119
angles (deg): 132.10 132.10 70.07
Fractional positions:
Co1 0.5000 0.5000 0.0000
Os1 0.7500 0.2500 0.5000
Ru1 0.0000 0.0000 0.0000
Ru2 0.2500 0.7500 0.5000